(1)
CaNd3Dy2Y6 | PBE | relaxed

Structure (extended XYZ):
```
12
Lattice="3.137 -5.435 0.000 3.137 5.435 0.000 -2.088 0.000 11.762" Properties=species:S:1:pos:R:3 pbc="T T T"
Ca 0.000 0.000 0.000
Nd 2.093 3.636 5.881
Nd 2.093 0.000 5.881
Nd 2.093 -3.636 5.881
Dy 3.137 1.810 0.000
Dy 3.137 -1.810 0.000
Y 1.068 1.842 2.939
Y 0.033 0.000 8.821
Y 1.068 -1.842 2.939
Y 3.118 1.842 8.823
Y 4.153 0.000 2.941
Y 3.118 -1.842 8.823
```

## Properties
* total magnetic moment: 0.00 μB/f.u.
* energy: -63.68 eV/cell


(2)
CaNdDyY | PBE | relaxed

Structure (extended XYZ):
```
4
Lattice="3.648 0.000 0.000 0.000 3.648 0.000 0.000 0.000 10.485" Properties=species:S:1:pos:R:3 pbc="T T T"
Ca 0.000 0.000 0.000
Nd 1.824 1.824 7.632
Dy 0.000 0.000 5.170
Y 1.824 1.824 2.767
```

## Properties
* total magnetic moment: 0.00 μB/f.u.
* energy: -17.61 eV/cell


(3)
CaNd2Dy4Y | PBE | relaxed

Structure (extended XYZ):
```
16
Lattice="6.909 -6.706 0.000 6.909 6.706 0.000 -3.408 0.000 5.957" Properties=species:S:1:pos:R:3 pbc="T T T"
Ca 0.000 0.000 0.000
Ca -1.704 0.000 2.978
Nd 3.454 3.353 0.000
Nd 1.751 -3.353 2.978
Nd 6.909 0.000 0.000
Nd 5.205 0.000 2.978
Dy 3.443 3.330 5.940
Dy 5.263 3.330 2.995
Dy 3.605 0.000 0.070
Dy 1.901 0.000 3.049
Dy 8.509 0.000 2.908
Dy 6.805 0.000 5.886
Dy 5.146 -3.330 2.961
Dy 6.967 -3.330 0.017
Y 1.751 3.353 2.978
Y 3.454 -3.353 0.000
```

## Properties
* total magnetic moment: 0.39 μB/f.u.
* energy: -66.04 eV/cell


(4)
CaNdDyZn | PBE | relaxed

Structure (extended XYZ):
```
4
Lattice="3.591 0.000 0.000 0.000 3.591 0.000 0.000 0.000 9.246" Properties=species:S:1:pos:R:3 pbc="T T T"
Ca 0.000 0.000 0.000
Nd 1.796 1.796 6.224
Dy 0.000 0.000 3.667
Zn 1.796 1.796 1.958
```

## Properties
* total magnetic moment: 0.00 μB/f.u.
* energy: -13.15 eV/cell


(5)
CaDyNi10 | PBE | relaxed

Structure (extended XYZ):
```
12
Lattice="3.949 0.000 0.000 0.000 4.905 0.000 0.000 0.000 8.478" Properties=species:S:1:pos:R:3 pbc="T T T"
Ca 0.000 0.000 0.000
Dy 0.000 2.453 4.239
Ni 0.000 0.000 2.842
Ni 0.000 0.000 5.636
Ni 0.000 2.453 1.432
Ni 0.000 2.453 7.046
Ni 1.975 0.000 4.239
Ni 1.975 1.239 2.148
Ni 1.975 1.239 6.330
Ni 1.975 2.453 0.000
Ni 1.975 3.667 2.148
Ni 1.975 3.667 6.330
```

## Properties
* total magnetic moment: 3.39 μB/f.u.
* energy: -67.05 eV/cell


(6)
CaDy3Ni8 | PBE | relaxed

Structure (extended XYZ):
```
12
Lattice="2.533 1.463 8.282 -2.533 1.463 8.282 0.000 -2.925 8.282" Properties=species:S:1:pos:R:3 pbc="T T T"
Ca 0.000 0.000 0.000
Dy 0.000 0.000 9.245
Dy 0.000 0.000 12.375
Dy 0.000 0.000 21.764
Ni 0.000 0.000 4.633
Ni 0.000 -1.453 14.961
Ni -1.258 0.726 14.961
Ni -1.257 -0.725 19.153
Ni 0.000 0.000 17.055
Ni 1.258 0.726 14.961
Ni 1.257 -0.726 19.153
Ni 0.000 1.451 19.153
```

## Properties
* total magnetic moment: 0.00 μB/f.u.
* energy: -66.70 eV/cell


(7)
CaDyNi | PBE | relaxed

Structure (extended XYZ):
```
3
Lattice="-1.724 1.724 6.413 1.724 -1.724 6.413 1.724 1.724 -6.413" Properties=species:S:1:pos:R:3 pbc="T T T"
Ca 0.000 0.000 0.000
Dy 0.000 0.000 3.285
Ni 0.000 0.000 8.294
```

## Properties
* total magnetic moment: 0.00 μB/f.u.
* energy: -12.87 eV/cell


(8)
CaDyNi | PBE | relaxed

Structure (extended XYZ):
```
6
Lattice="3.769 0.000 0.000 0.000 4.037 0.000 -1.860 0.000 10.643" Properties=species:S:1:pos:R:3 pbc="T T T"
Ca 0.007 1.009 3.931
Ca 1.902 3.028 6.712
Dy 0.023 1.009 9.215
Dy 1.886 3.028 1.429
Ni -0.001 1.009 0.776
Ni 1.909 3.028 9.867
```

## Properties
* total magnetic moment: 0.00 μB/f.u.
* energy: -26.44 eV/cell


Question: Which formula does entry 3 have?
Answer: CaNd2Dy4Y


Repeat the fifth record exactly.
CaDyNi10 | PBE | relaxed

Structure (extended XYZ):
```
12
Lattice="3.949 0.000 0.000 0.000 4.905 0.000 0.000 0.000 8.478" Properties=species:S:1:pos:R:3 pbc="T T T"
Ca 0.000 0.000 0.000
Dy 0.000 2.453 4.239
Ni 0.000 0.000 2.842
Ni 0.000 0.000 5.636
Ni 0.000 2.453 1.432
Ni 0.000 2.453 7.046
Ni 1.975 0.000 4.239
Ni 1.975 1.239 2.148
Ni 1.975 1.239 6.330
Ni 1.975 2.453 0.000
Ni 1.975 3.667 2.148
Ni 1.975 3.667 6.330
```

## Properties
* total magnetic moment: 3.39 μB/f.u.
* energy: -67.05 eV/cell